Record 1
LaTi2MnOs: relaxed, PBE.

## Properties
Space-group type = P4/mmm (123)
Volume = 24.8 Å³/atom

Geometry as POSCAR:
```
LaTi2MnOs
1.0
4.7360 0.0000 0.0000
0.0000 5.5244 0.0000
0.0000 0.0000 4.7360
Mn Ti La Os
1 2 1 1
Cartesian
2.3680 2.7622 2.3680
0.0000 0.0000 2.3680
2.3680 0.0000 0.0000
0.0000 2.7622 0.0000
0.0000 0.0000 0.0000
```



Record 2
LaTi2MnOs: relaxed, PBE.

## Properties
Space-group type = P4/mmm (123)
Volume = 18.9 Å³/atom

Geometry as POSCAR:
```
LaTi2MnOs
1.0
-3.7270 -2.7181 0.8783
0.2234 -1.5910 -3.9758
2.8460 -3.4098 1.5244
Ti La Os Mn
2 1 1 1
Cartesian
1.4230 -1.7049 0.7622
-1.8635 -1.3590 0.4391
0.0000 0.0000 0.0000
-0.3288 -3.8594 -0.7866
0.1117 -0.7955 -1.9879
```



Record 3
La3MnP: relaxed, PBE.

## Properties
Space-group type = Pm-3m (221)
Volume = 26.6 Å³/atom

Geometry as POSCAR:
```
La3MnP
1.0
-3.7827 1.2591 -3.1904
-1.5091 -4.8762 -0.1352
-3.0801 0.8428 3.9844
Mn La P
1 3 1
Cartesian
0.0000 0.0000 0.0000
-0.7546 -2.4381 -0.0676
-1.8913 0.6296 -1.5952
-1.5400 0.4214 1.9922
-4.1859 -1.3871 0.3294
```



Record 4
LaMnP2: relaxed, PBE.

## Properties
Space-group type = Imm2 (44)
Volume = 19.0 Å³/atom

Geometry as POSCAR:
```
LaMnP2
1.0
6.8250 -0.0245 0.1259
5.1009 4.5344 -0.1259
-5.9618 -2.2579 2.4403
Mn P La
1 2 1
Cartesian
1.9955 2.0556 1.1572
3.5892 0.0528 1.2831
0.9325 0.3526 0.0000
5.4099 2.0458 0.0000
```



Record 5
La2MnP: relaxed, PBE.

## Properties
Space-group type = P2/m (10)
Volume = 25.2 Å³/atom

Geometry as POSCAR:
```
La2MnP
1.0
-3.2447 -1.1611 -1.5355
1.8751 -2.5599 -2.0265
1.0780 -7.2742 3.2228
La Mn P
2 1 1
Cartesian
1.4585 -5.0163 0.7113
1.0960 -7.1749 3.1095
-0.8841 -3.0391 -0.4687
0.5924 -7.9561 0.1294
```



Record 6
LaMnP2: relaxed, PBE.

## Properties
Space-group type = Pmmm (47)
Volume = 20.3 Å³/atom

Geometry as POSCAR:
```
LaMnP2
1.0
-3.4891 0.1515 -1.6960
0.4633 -3.9797 -1.3088
-2.1082 -1.6270 4.1918
La P Mn
1 2 1
Cartesian
-2.1558 -1.3259 -0.1272
-0.6790 -3.7750 1.0595
0.3198 -3.0080 -0.9268
-2.9782 -4.1293 1.3143
```



Record 7
LaMnP2: relaxed, PBE.

## Properties
Space-group type = P4mm (99)
Volume = 23.0 Å³/atom

Geometry as POSCAR:
```
LaMnP2
1.0
-3.1937 -2.2333 -0.3108
1.9095 -2.3922 -2.4320
1.8433 -3.2873 4.6807
La Mn P
1 1 2
Cartesian
0.7463 -1.3309 1.8950
1.0313 -5.2971 2.8779
1.6431 -2.9303 4.1724
-0.0967 -3.2854 0.0136
```



Record 8
La3MnP5: relaxed, PBE.

## Properties
Space-group type = P6_3/mcm (193)
Volume = 20.8 Å³/atom

Geometry as POSCAR:
```
La3MnP5
1.0
8.7305 0.0000 0.0000
-4.3653 7.5609 0.0000
0.0000 0.0000 5.6794
P La Mn
10 6 2
Cartesian
1.0040 1.7389 1.4199
2.0083 0.0000 4.2596
6.7222 0.0000 1.4199
4.3653 2.5203 2.8397
4.3653 2.5203 0.0000
3.3613 5.8219 4.2596
0.0000 5.0406 0.0000
-3.3611 5.8216 1.4199
-1.0041 1.7392 4.2596
0.0000 5.0406 2.8397
-1.6435 2.8467 1.4199
2.7216 4.7139 1.4199
1.6437 2.8469 4.2596
5.4435 0.0000 4.2596
-2.7217 4.7142 4.2596
3.2870 0.0000 1.4199
0.0000 0.0000 0.0000
0.0000 0.0000 2.8397
```



Values of total DFT energy (no corrections), in order: -36.1, -32.3, -30.4, -27.1, -26.1, -27.7, -27.0, -120.9, all in eV/cell.
Values of formation energy, in order: 97, 170, -20, -52, -41, -68, -50, -101, all in kJ per mole of atoms.